Record 1
# CaTaH PBE optimized geometry
# Total moment in μB/f.u.: 0.00
# ΔE to the lowest computed polymorph in kJ per mole of atoms: 20.85
data_CaTaH
_chemical_formula_sum 'Ca2 Ta2 H2'
_space_group_name_H-M_alt 'P 1'
_space_group_IT_number 1
_cell_length_a 3.1347
_cell_length_b 3.1616
_cell_length_c 10.6502
_cell_angle_alpha 86.18
_cell_angle_beta 86.83
_cell_angle_gamma 71.42
loop_
_space_group_symop_operation_xyz
'x,y,z'
loop_
_atom_site_label
_atom_site_type_symbol
_atom_site_fract_x
_atom_site_fract_y
_atom_site_fract_z
Ca1 Ca 0.0000 0.0000 0.0000
Ca2 Ca 0.4181 0.3639 0.6934
Ta1 Ta 0.4584 0.4410 0.2467
Ta2 Ta 0.9520 0.9101 0.4383
H1 H 0.4354 0.8878 0.5484
H2 H 0.7214 0.6806 0.8422

=====

Record 2
# PuIn6Cu6 PBE optimized geometry
# Total moment in μB/f.u.: 5.67
# Formation energy in eV per atom: -0.0655
data_PuIn6Cu6
_chemical_formula_sum 'Pu2 In12 Cu12'
_space_group_name_H-M_alt 'I m m m'
_space_group_IT_number 71
_space_group_name_Hall '-I 2 2'
_cell_length_a 5.4689
_cell_length_b 9.2866
_cell_length_c 9.3296
_cell_angle_alpha 90.00
_cell_angle_beta 90.00
_cell_angle_gamma 90.00
loop_
_atom_site_label
_atom_site_type_symbol
_atom_site_fract_x
_atom_site_fract_y
_atom_site_fract_z
Pu1 Pu 0.0000 0.0000 0.0000
In1 In 0.0000 0.0000 0.3427
In2 In 0.0000 0.3377 0.0000
In3 In 0.0000 0.5000 0.3169
Cu1 Cu 0.0000 0.2642 0.5000
Cu2 Cu 0.2500 0.2500 0.2500

=====

Record 3
# CaAcAs2O6 PBE optimized geometry
# Total moment in μB/f.u.: 0.36
# E_form (uncorrected) in eV/f.u.: -21.318
data_CaAcAs2O6
_chemical_formula_sum 'Ca3 Ac3 As6 O18'
_space_group_name_H-M_alt 'R -3'
_space_group_IT_number 148
_space_group_name_Hall '-R 3'
_cell_length_a 5.6865
_cell_length_b 5.6865
_cell_length_c 17.1664
_cell_angle_alpha 90.00
_cell_angle_beta 90.00
_cell_angle_gamma 120.00
loop_
_atom_site_label
_atom_site_type_symbol
_atom_site_fract_x
_atom_site_fract_y
_atom_site_fract_z
Ca1 Ca 0.0000 0.0000 0.0000
Ac1 Ac 0.0000 0.0000 0.5000
As1 As 0.0000 0.0000 0.2917
O1 O 0.0273 0.7276 0.7502

=====

Record 4
# ScTc2Ni PBE optimized geometry
# Total moment in μB/f.u.: 0.00
# Formation energy in eV per atom: -0.1002
# ΔE to the lowest computed polymorph in kJ per mole of atoms: 2.20
data_ScTc2Ni
_chemical_formula_sum 'Sc1 Tc2 Ni1'
_space_group_name_H-M_alt 'P m m m'
_space_group_IT_number 47
_cell_length_a 3.1908
_cell_length_b 4.1833
_cell_length_c 4.4752
_cell_angle_alpha 90.00
_cell_angle_beta 90.00
_cell_angle_gamma 90.00
loop_
_space_group_symop_operation_xyz
'x,y,z'
'-x,-y,-z'
'-x,-y,z'
'x,y,-z'
'x,-y,-z'
'-x,y,z'
'-x,y,-z'
'x,-y,z'
loop_
_atom_site_label
_atom_site_type_symbol
_atom_site_fract_x
_atom_site_fract_y
_atom_site_fract_z
Sc1 Sc 0.0000 0.0000 0.0000
Tc1 Tc 0.0000 0.5000 0.5000
Tc2 Tc 0.5000 0.0000 0.5000
Ni1 Ni 0.5000 0.5000 0.0000

=====

Record 5
# Pu2NbP3 PBE optimized geometry
# Total moment in μB/f.u.: 10.28
# Formation energy in eV per atom: -1.0175
data_Pu2NbP3
_chemical_formula_sum 'Pu4 Nb2 P6'
_space_group_name_H-M_alt 'I m m m'
_space_group_IT_number 71
_space_group_name_Hall '-I 2 2'
_cell_length_a 3.8154
_cell_length_b 5.4249
_cell_length_c 11.5314
_cell_angle_alpha 90.00
_cell_angle_beta 90.00
_cell_angle_gamma 90.00
loop_
_atom_site_label
_atom_site_type_symbol
_atom_site_fract_x
_atom_site_fract_y
_atom_site_fract_z
Pu1 Pu 0.0000 0.0000 0.1695
Nb1 Nb 0.0000 0.0000 0.5000
P1 P 0.0000 0.5000 0.1538
P2 P 0.0000 0.5000 0.5000

=====

Record 6
# Sm6Dy12Ho PBE optimized geometry
# Total moment in μB/f.u.: 0.00
# Formation energy in eV per atom: 0.2130
# ΔE to the lowest computed polymorph in kJ per mole of atoms: 8.61
data_Sm6Dy12Ho
_chemical_formula_sum 'Sm18 Dy36 Ho3'
_space_group_name_H-M_alt 'R -3 m'
_space_group_IT_number 166
_space_group_name_Hall '-R 3 2"'
_cell_length_a 13.2117
_cell_length_b 13.2117
_cell_length_c 12.6265
_cell_angle_alpha 90.00
_cell_angle_beta 90.00
_cell_angle_gamma 120.00
loop_
_atom_site_label
_atom_site_type_symbol
_atom_site_fract_x
_atom_site_fract_y
_atom_site_fract_z
Sm1 Sm 0.0405 0.5202 0.1168
Dy1 Dy 0.0000 0.2580 0.0000
Dy2 Dy 0.0909 0.1818 0.7648
Ho1 Ho 0.0000 0.0000 0.5000

=====

Number 1: volume 100 Å³/cell, total energy -5.60 eV per atom. Number 2: volume 474 Å³/cell, total energy -4.32 eV per atom. Number 3: volume 481 Å³/cell, total energy -6.65 eV per atom. Number 4: volume 60 Å³/cell, total energy -8.31 eV per atom. Number 5: volume 239 Å³/cell, total energy -10.18 eV per atom. Number 6: volume 1909 Å³/cell, total energy -4.42 eV per atom.